1.
# Dy3Si2Ni6

Crystalline Dy3Si2Ni6 at its relaxed geometry (GGA-PBEsol, Alexandria via LeMat-Bulk).

Calculated values
The calculation puts the total energy at -6.465 eV per atom. The calculation puts the density of states at the Fermi level at 4.907 states/eV/f.u. The formation energy from raw total energies comes out at -0.703 eV/atom.

Unit cell a=7.481 b=7.481 c=7.481 alpha=109.47 beta=109.47 gamma=109.47
Atoms (fractional coordinates):
Dy (0.000, 0.286, 0.286)
Dy (0.000, 0.714, 0.714)
Dy (0.286, 0.000, 0.286)
Dy (0.286, 0.286, 0.000)
Dy (0.714, 0.000, 0.714)
Dy (0.714, 0.714, 0.000)
Si (0.000, 0.000, 0.500)
Si (0.000, 0.500, 0.000)
Si (0.500, 0.000, 0.000)
Si (0.500, 0.500, 0.500)
Ni (0.000, 0.332, 0.668)
Ni (0.000, 0.668, 0.332)
Ni (0.332, 0.000, 0.668)
Ni (0.332, 0.332, 0.663)
Ni (0.332, 0.663, 0.332)
Ni (0.332, 0.668, 0.000)
Ni (0.337, 0.668, 0.668)
Ni (0.663, 0.332, 0.332)
Ni (0.668, 0.000, 0.332)
Ni (0.668, 0.332, 0.000)
Ni (0.668, 0.337, 0.668)
Ni (0.668, 0.668, 0.337)

***

2.
# FeCo2Mo

Crystalline FeCo2Mo at its relaxed geometry (GGA-PBEsol, Alexandria via LeMat-Bulk).

Calculated values
The calculation puts the total energy at -8.880 eV per atom. The value obtained for the relative energy among the computed polymorphs is 0.206 eV/atom. As for the calculated formation energy: 0.1714 eV per atom. The calculation puts the density of states at the Fermi level at 5.472 states/eV/f.u.

Unit cell a=5.748 b=5.748 c=5.748 alpha=90.00 beta=90.00 gamma=90.00
Atoms (fractional coordinates):
Fe (0.000, 0.000, 0.000)
Fe (0.000, 0.500, 0.500)
Fe (0.500, 0.000, 0.500)
Fe (0.500, 0.500, 0.000)
Co (0.250, 0.250, 0.250)
Co (0.250, 0.250, 0.750)
Co (0.250, 0.750, 0.250)
Co (0.250, 0.750, 0.750)
Co (0.750, 0.250, 0.250)
Co (0.750, 0.250, 0.750)
Co (0.750, 0.750, 0.250)
Co (0.750, 0.750, 0.750)
Mo (0.000, 0.000, 0.500)
Mo (0.000, 0.500, 0.000)
Mo (0.500, 0.000, 0.000)
Mo (0.500, 0.500, 0.500)

***

3.
# HF

Crystalline HF at its relaxed geometry (GGA-PBEsol, Alexandria via LeMat-Bulk).

Calculated values
The calculation puts the total energy at -4.158 eV per atom. The value obtained for the relative energy among the computed polymorphs is 0.093 eV/atom. The calculation puts the density of states at the Fermi level at 0.000 states/eV/f.u.

Unit cell a=2.837 b=4.315 c=5.447 alpha=90.00 beta=90.00 gamma=90.00
Atoms (fractional coordinates):
H (0.000, 0.080, 0.250)
H (0.000, 0.920, 0.750)
H (0.500, 0.420, 0.750)
H (0.500, 0.580, 0.250)
F (0.000, 0.144, 0.750)
F (0.000, 0.856, 0.250)
F (0.500, 0.356, 0.250)
F (0.500, 0.644, 0.750)

***

Copy entry 2 word for word.
# FeCo2Mo

Crystalline FeCo2Mo at its relaxed geometry (GGA-PBEsol, Alexandria via LeMat-Bulk).

Calculated values
The calculation puts the total energy at -8.880 eV per atom. The value obtained for the relative energy among the computed polymorphs is 0.206 eV/atom. As for the calculated formation energy: 0.1714 eV per atom. The calculation puts the density of states at the Fermi level at 5.472 states/eV/f.u.

Unit cell a=5.748 b=5.748 c=5.748 alpha=90.00 beta=90.00 gamma=90.00
Atoms (fractional coordinates):
Fe (0.000, 0.000, 0.000)
Fe (0.000, 0.500, 0.500)
Fe (0.500, 0.000, 0.500)
Fe (0.500, 0.500, 0.000)
Co (0.250, 0.250, 0.250)
Co (0.250, 0.250, 0.750)
Co (0.250, 0.750, 0.250)
Co (0.250, 0.750, 0.750)
Co (0.750, 0.250, 0.250)
Co (0.750, 0.250, 0.750)
Co (0.750, 0.750, 0.250)
Co (0.750, 0.750, 0.750)
Mo (0.000, 0.000, 0.500)
Mo (0.000, 0.500, 0.000)
Mo (0.500, 0.000, 0.000)
Mo (0.500, 0.500, 0.500)